Computed, not measured: AcDyPt after structural relaxation at the PBE level of DFT.

Values from the calculation:
- Space group: No. 12
- Energy relative to the lowest polymorph listed for this composition: 0.0 meV per atom

Cell: 4.935 4.935 7.277 Å, 90.11 90.11 90.00°
Fractional positions:
Ac: 0.814 0.867 0.538
Ac: 0.313 0.366 0.301
Dy: 0.813 0.367 0.920
Dy: 0.314 0.866 0.920
Pt: 0.815 0.868 0.126
Pt: 0.312 0.365 0.713